DFT (GGA-PBE) results for crystalline Ac2Ga3BiPt4 at its relaxed geometry.

a b c (Å): 4.502 4.502 10.906
angles (deg): 90.00 90.00 90.00
Sites, in units of the cell vectors:
Ac 0.000 0.500 0.237
Ac 0.500 0.000 0.763
Ga 0.000 0.500 0.885
Ga 0.500 0.000 0.115
Ga 0.500 0.500 0.500
Bi 0.000 0.000 0.500
Pt 0.000 0.000 0.000
Pt 0.000 0.500 0.655
Pt 0.500 0.000 0.345
Pt 0.500 0.500 0.000

Summary:
VASP energy (eV/atom): -5.42
Formation enthalpy at 0 K (meV per atom): -887
Size of the total moment (μB/cell): 0.00